Here is CuHgTe2 after structural relaxation from the Alexandria database. Energies are from PBE.

extended XYZ file:
```
4
Lattice="4.0412 0.0000 0.0000 0.0000 7.2211 0.0000 0.0000 0.0000 3.9388" Properties=species:S:1:pos:R:3 pbc="T T T"
Te 0.0000 0.0000 0.0000
Te 2.0206 3.6105 0.0000
Cu 2.0206 0.0000 1.9694
Hg 0.0000 3.6105 1.9694
```

Results
**VASP energy**: -2.376 eV/atom
**SG**: Pmmm (47)